# 1
A plane-wave DFT calculation with GGA-PBE was carried out for a geometry-optimized CdInAu2 structure.

Results
symmetry	No. 35
formation energy	-45	meV per atom
theoretical density	12.276	Mg/m³

Cell lengths 3.2731, 3.2731, 7.8426 Å; angles 90.00, 90.00, 90.09 degrees
Last column: nearest neighbours and their distance in Å.
Sites, in units of the cell vectors:
Cd (0.0000, 0.0000, 0.0000)  4 Au 2.91
In (0.5000, 0.5000, 0.6920)  4 Au 2.97, 4 In 3.27
Au (0.0000, 0.0000, 0.4545)  8 Au 2.93-3.27, 4 In 2.97
Au (0.5000, 0.5000, 0.2242)  4 Cd 2.91, 4 Au 2.93-2.94

# 2
A plane-wave DFT calculation with GGA-PBE was carried out for a geometry-optimized Cd2InAu6 structure.

Results
symmetry	No. 12
formation energy	-130	meV per atom
theoretical density	14.576	Mg/m³
offset from the most stable computed form	0	meV/atom

Cell lengths 8.0894, 8.0894, 5.0968 Å; angles 98.82, 98.82, 143.44 degrees
Last column: nearest neighbours and their distance in Å.
Sites, in units of the cell vectors:
Cd (0.1655, 0.8345, 0.0000)  10 Au 2.93-2.97
Cd (0.8345, 0.1655, 0.0000)  10 Au 2.93-2.97
In (0.0000, 0.0000, 0.5000)  10 Au 2.93-2.97
Au (0.1674, 0.5030, 0.6668)  5 Au 2.91-2.97, 4 Cd 2.93-2.97, 1 In 2.97
Au (0.3351, 0.3351, 0.1680)  5 Au 2.92-2.97, 3 In 2.93-2.97, 2 Cd 2.94
Au (0.4970, 0.8326, 0.3332)  5 Au 2.91-2.97, 4 Cd 2.93-2.97, 1 In 2.97
Au (0.5030, 0.1674, 0.6668)  5 Au 2.91-2.97, 4 Cd 2.93-2.97, 1 In 2.97
Au (0.6649, 0.6649, 0.8320)  5 Au 2.92-2.97, 3 In 2.93-2.97, 2 Cd 2.94
Au (0.8326, 0.4970, 0.3332)  5 Au 2.91-2.97, 4 Cd 2.93-2.97, 1 In 2.97

# 3
A plane-wave DFT calculation with GGA-PBE was carried out for a geometry-optimized Cd8InAu6 structure.

Results
symmetry	No. 148
formation energy	-186	meV per atom
theoretical density	11.024	Mg/m³

Cell lengths 7.4741, 7.4741, 7.4741 Å; angles 65.54, 65.54, 65.54 degrees
Last column: nearest neighbours and their distance in Å.
Sites, in units of the cell vectors:
Cd (0.0427, 0.7192, 0.3822)  5 Au 2.82-3.02
Cd (0.1672, 0.1672, 0.1672)  6 Au 2.86-2.87
Cd (0.2808, 0.6178, 0.9573)  5 Au 2.82-3.02
Cd (0.3822, 0.0427, 0.7192)  5 Au 2.82-3.02
Cd (0.6178, 0.9573, 0.2808)  5 Au 2.82-3.02
Cd (0.7192, 0.3822, 0.0427)  5 Au 2.82-3.02
Cd (0.8328, 0.8328, 0.8328)  6 Au 2.86-2.87
Cd (0.9573, 0.2808, 0.6178)  5 Au 2.82-3.02
In (0.5000, 0.5000, 0.5000)  6 Au 2.84
Au (0.1151, 0.4459, 0.7776)  7 Cd 2.82-3.02, 1 In 2.84
Au (0.2224, 0.8849, 0.5541)  7 Cd 2.82-3.02, 1 In 2.84
Au (0.4459, 0.7776, 0.1151)  7 Cd 2.82-3.02, 1 In 2.84
Au (0.5541, 0.2224, 0.8849)  7 Cd 2.82-3.02, 1 In 2.84
Au (0.7776, 0.1151, 0.4459)  7 Cd 2.82-3.02, 1 In 2.84
Au (0.8849, 0.5541, 0.2224)  7 Cd 2.82-3.02, 1 In 2.84

# 4
A plane-wave DFT calculation with GGA-PBE was carried out for a geometry-optimized CdIn2Au4 structure.

Results
symmetry	No. 11
formation energy	-148	meV per atom
theoretical density	12.106	Mg/m³
offset from the most stable computed form	0	meV/atom

Cell lengths 4.1127, 5.6398, 13.3639 Å; angles 90.00, 90.02, 90.00 degrees
Last column: nearest neighbours and their distance in Å.
Sites, in units of the cell vectors:
Cd (0.2497, 0.2500, 0.0356)  6 Au 2.84-2.91
Cd (0.7503, 0.7500, 0.9644)  6 Au 2.84-2.91
In (0.2479, 0.2500, 0.2929)  8 Au 2.86-3.15
In (0.2485, 0.2500, 0.5938)  6 Au 2.85-2.88
In (0.7515, 0.7500, 0.4062)  6 Au 2.85-2.88
In (0.7521, 0.7500, 0.7071)  8 Au 2.86-3.15
Au (0.2503, 0.7500, 0.2587)  4 In 2.85-2.86, 4 Au 2.90
Au (0.2506, 0.5026, 0.8514)  4 Au 2.79-2.90, 3 Cd 2.84-2.91
Au (0.2506, 0.9974, 0.8514)  4 Au 2.79-2.90, 3 Cd 2.84-2.91
Au (0.2521, 0.7500, 0.5574)  6 In 2.86-2.88
Au (0.7479, 0.2500, 0.4426)  6 In 2.86-2.88
Au (0.7494, 0.0026, 0.1486)  4 Au 2.79-2.90, 3 Cd 2.84-2.91
Au (0.7494, 0.4974, 0.1486)  4 Au 2.79-2.90, 3 Cd 2.84-2.91
Au (0.7497, 0.2500, 0.7413)  4 In 2.85-2.86, 4 Au 2.90

# 5
A plane-wave DFT calculation with GGA-PBE was carried out for a geometry-optimized CdInAu4 structure.

Results
symmetry	No. 65
formation energy	-128	meV per atom
theoretical density	14.374	Mg/m³
offset from the most stable computed form	0	meV/atom

Cell lengths 5.1770, 5.1770, 4.9595 Å; angles 90.00, 90.00, 118.09 degrees
Last column: nearest neighbours and their distance in Å.
Sites, in units of the cell vectors:
Cd (0.0000, 0.0000, 0.0000)  10 Au 2.88-3.05
In (0.5000, 0.5000, 0.5000)  10 Au 2.89-3.04
Au (0.1660, 0.8340, 0.5000)  2 Cd 2.88, 5 Au 2.89-3.05, 3 In 2.97-3.04
Au (0.3336, 0.6664, 0.0000)  2 In 2.89, 5 Au 2.89-3.05, 3 Cd 2.96-3.05
Au (0.6664, 0.3336, 0.0000)  2 In 2.89, 5 Au 2.89-3.05, 3 Cd 2.96-3.05
Au (0.8340, 0.1660, 0.5000)  2 Cd 2.88, 5 Au 2.89-3.05, 3 In 2.97-3.04

# 6
A plane-wave DFT calculation with GGA-PBE was carried out for a geometry-optimized Cd2InAu structure.

Results
symmetry	No. 47
formation energy	-18	meV per atom
theoretical density	9.981	Mg/m³

Cell lengths 3.7483, 4.6388, 5.1344 Å; angles 90.00, 90.00, 90.00 degrees
Last column: nearest neighbours and their distance in Å.
Sites, in units of the cell vectors:
Cd (0.0000, 0.0000, 0.0000)  4 Cd 2.98, 4 Au 3.18
Cd (0.5000, 0.5000, 0.0000)  4 Cd 2.98, 4 In 3.18
In (0.0000, 0.5000, 0.5000)  4 Au 2.98, 4 Cd 3.18
Au (0.5000, 0.0000, 0.5000)  4 In 2.98, 4 Cd 3.18

# 7
A plane-wave DFT calculation with GGA-PBE was carried out for a geometry-optimized CdIn2Au4 structure.

Results
symmetry	No. 139
formation energy	227	meV per atom
theoretical density	9.823	Mg/m³
offset from the most stable computed form	375	meV/atom

Cell lengths 7.8681, 7.8681, 7.8681 Å; angles 141.05, 141.05, 56.27 degrees
Last column: nearest neighbours and their distance in Å.
Sites, in units of the cell vectors:
Cd (0.0000, 0.0000, 0.0000)  6 Au 2.62-2.71
In (0.3860, 0.3860, 0.0000)  1 Au 2.64
In (0.6140, 0.6140, 0.0000)  1 Au 2.64
Au (0.0000, 0.5000, 0.5000)  2 Cd 2.62
Au (0.1954, 0.1954, 0.0000)  1 In 2.64, 1 Cd 2.71
Au (0.5000, 0.0000, 0.5000)  2 Cd 2.62
Au (0.8046, 0.8046, 0.0000)  1 In 2.64, 1 Cd 2.71

# 8
A plane-wave DFT calculation with GGA-PBE was carried out for a geometry-optimized Cd2In8Au structure.

Results
symmetry	No. 123
formation energy	-21	meV per atom
theoretical density	7.810	Mg/m³

Cell lengths 4.7539, 4.7539, 12.6097 Å; angles 90.00, 90.00, 90.00 degrees
Last column: nearest neighbours and their distance in Å.
Sites, in units of the cell vectors:
Cd (0.0000, 0.0000, 0.1752)  12 In 3.24-3.37
Cd (0.0000, 0.0000, 0.8248)  12 In 3.24-3.37
In (0.0000, 0.5000, 0.0000)  4 Cd 3.24, 8 In 3.36
In (0.0000, 0.5000, 0.3650)  2 Au 2.92, 2 In 3.26
In (0.0000, 0.5000, 0.6350)  2 Au 2.92, 2 In 3.26
In (0.5000, 0.0000, 0.0000)  4 Cd 3.24, 8 In 3.36
In (0.5000, 0.0000, 0.3650)  2 Au 2.92, 2 In 3.26
In (0.5000, 0.0000, 0.6350)  2 Au 2.92, 2 In 3.26
In (0.5000, 0.5000, 0.1886)  8 In 3.26-3.36, 4 Cd 3.37
In (0.5000, 0.5000, 0.8114)  8 In 3.26-3.36, 4 Cd 3.37
Au (0.0000, 0.0000, 0.5000)  8 In 2.92